This record from the Alexandria database describes a PBEsol-optimized structure of KFeSe2Br. The functional is meta-GGA SCAN.

Cell lengths 5.5838, 5.4083, 5.4083 Å; angles 90.00, 90.00, 90.00 degrees
With the nearest neighbours (Å) after each atom.
Positions (direct):
K  0.0000  0.0000  0.0000  4 Se 2.70, 2 Br 2.79
Se  0.0000  0.0000  0.5000  2 K 2.70
Se  0.0000  0.5000  0.0000  2 K 2.70
Br  0.5000  0.0000  0.0000  2 K 2.79
Fe  0.5000  0.5000  0.5000  4 Br 3.82, 8 Se 3.89

Total moment ... 5.9 μB per formula unit
E_form (uncorrected) ... 0.99 eV per atom
Density ... 3.4 g/cm3

This record from the Alexandria database describes a PBEsol-optimized structure of Zr2TePb. The functional is meta-GGA SCAN.

Cell lengths 3.4080, 5.2975, 5.6597 Å; angles 90.00, 107.58, 90.00 degrees
With the nearest neighbours (Å) after each atom.
Positions (direct):
Te  0.0976  0.5000  0.8204  5 Zr 2.74-3.04
Zr  0.8165  0.5000  0.2570  3 Te 2.91-3.04
Zr  0.1627  0.0000  0.9499  2 Te 2.74, 1 Pb 2.82
Pb  0.4232  0.0000  0.4728  3 Zr 2.82-3.09

Distance to the lowest polymorph of the same formula ... 64.2 meV/atom
Total moment ... 0.0 μB per formula unit
E_form (uncorrected) ... -0.41 eV per atom
Density ... 8.8 g/cm3

This record from the Alexandria database describes a PBEsol-optimized structure of LaAs2. The functional is meta-GGA SCAN.

Cell lengths 3.7030, 3.7030, 5.6202 Å; angles 109.23, 109.23, 90.00 degrees
With the nearest neighbours (Å) after each atom.
Positions (direct):
As  0.2998  0.2998  0.5995  4 As 2.80, 1 La 2.98
As  0.7002  0.7002  0.4005  4 As 2.80, 1 La 2.98
La  0.0000  0.0000  0.0000  10 As 2.98-3.29

Total moment ... 0.0 μB per formula unit
Energy of formation ... -2.226 eV per formula unit
Density ... 7.0 g/cm3

This record from the Alexandria database describes a PBEsol-optimized structure of MgPtN2F. The functional is meta-GGA SCAN.

Cell lengths 3.4877, 4.0256, 4.0256 Å; angles 90.00, 90.00, 90.00 degrees
With the nearest neighbours (Å) after each atom.
Positions (direct):
Pt  0.5000  0.5000  0.5000  8 N 2.66, 4 F 2.85
N  0.0000  0.5000  0.0000  2 Mg 2.01
N  0.0000  0.0000  0.5000  2 Mg 2.01
Mg  0.0000  0.0000  0.0000  2 F 1.74
F  0.5000  0.0000  0.0000  2 Mg 1.74

Distance to the lowest polymorph of the same formula ... 506.2 meV/atom
Total moment ... 1.6 μB per formula unit
E_form (uncorrected) ... 0.73 eV per atom
Density ... 7.8 g/cm3

This record from the Alexandria database describes a PBEsol-optimized structure of YCu2Ni. The functional is meta-GGA SCAN.

Cell lengths 4.0582, 4.0582, 5.0267 Å; angles 66.19, 66.19, 60.00 degrees
With the nearest neighbours (Å) after each atom.
Positions (direct):
Ni  0.4519  0.4519  0.6443  6 Cu 2.38-2.54
Cu  0.0443  0.0443  0.8671  3 Cu 2.42, 3 Ni 2.54
Cu  0.7554  0.7554  0.7339  3 Ni 2.38, 3 Cu 2.42
Y  0.2478  0.2478  0.2567  4 Cu 2.71-2.91, 4 Ni 2.72-2.91

Distance to the lowest polymorph of the same formula ... 0.0 meV/atom
Total moment ... 0.0 μB per formula unit
Energy of formation ... -0.937 eV per formula unit
Density ... 7.2 g/cm3

This record from the Alexandria database describes a PBEsol-optimized structure of Ba2Tl2Pb. The functional is meta-GGA SCAN.

Cell lengths 5.4467, 5.4467, 7.7523 Å; angles 110.57, 110.57, 90.00 degrees
With the nearest neighbours (Å) after each atom.
Positions (direct):
Ba  0.2500  0.7500  0.5000  4 Tl 3.39
Ba  0.7500  0.2500  0.5000  4 Tl 3.39
Tl  0.4004  0.4004  0.8007  1 Tl 2.68
Tl  0.5996  0.5996  0.1993  1 Tl 2.68
Pb  0.0000  0.0000  0.0000  8 Tl 4.08, 8 Ba 4.33

Distance to the lowest polymorph of the same formula ... 393.2 meV/atom
Total moment ... 0.0 μB per formula unit
Energy of formation ... -0.786 eV per formula unit
Density ... 7.4 g/cm3

This record from the Alexandria database describes a PBEsol-optimized structure of ZrTcAs2Se. The functional is meta-GGA SCAN.

Cell lengths 4.6184, 4.6184, 5.0385 Å; angles 90.00, 90.00, 90.00 degrees
With the nearest neighbours (Å) after each atom.
Positions (direct):
Tc  0.0000  0.0000  0.0000  4 As 2.31, 2 Se 2.52
As  0.5000  0.0000  0.0000  2 Tc 2.31
As  0.0000  0.5000  0.0000  2 Tc 2.31
Se  0.0000  0.0000  0.5000  2 Tc 2.52
Zr  0.5000  0.5000  0.5000  4 Se 3.27, 8 As 3.42

Total moment ... 2.0 μB per formula unit
E_form (uncorrected) ... 0.35 eV per atom
Density ... 6.5 g/cm3

This record from the Alexandria database describes a PBEsol-optimized structure of Sr2CuBr. The functional is meta-GGA SCAN.

Cell lengths 4.3672, 4.3672, 7.1698 Å; angles 107.73, 107.73, 90.00 degrees
With the nearest neighbours (Å) after each atom.
Positions (direct):
Cu  0.2500  0.7500  0.5000  4 Sr 3.09
Sr  0.0000  0.0000  0.0000  4 Br 3.09
Sr  0.7500  0.2500  0.5000  4 Cu 3.09
Br  0.5000  0.5000  0.0000  4 Sr 3.09

Distance to the lowest polymorph of the same formula ... 315.2 meV/atom
Total moment ... 0.0 μB per formula unit
E_form (uncorrected) ... -0.53 eV per atom
Density ... 4.3 g/cm3

This record from the Alexandria database describes a PBEsol-optimized structure of YSbSe2. The functional is meta-GGA SCAN.

Cell lengths 5.0910, 5.0910, 5.0910 Å; angles 60.00, 60.00, 60.00 degrees
With the nearest neighbours (Å) after each atom.
Positions (direct):
Se  0.0000  0.0000  0.0000  4 Se 3.12, 4 Y 3.12
Se  0.7500  0.7500  0.7500  4 Se 3.12, 4 Sb 3.12
Y  0.2500  0.2500  0.2500  4 Se 3.12, 4 Sb 3.12
Sb  0.5000  0.5000  0.5000  4 Y 3.12, 4 Se 3.12

Total moment ... 1.1 μB per formula unit
E_form (uncorrected) ... -0.32 eV per atom
Density ... 6.6 g/cm3

This record from the Alexandria database describes a PBEsol-optimized structure of TaCo2C2. The functional is meta-GGA SCAN.

Cell lengths 3.3004, 3.3004, 4.6883 Å; angles 110.61, 110.61, 90.00 degrees
With the nearest neighbours (Å) after each atom.
Positions (direct):
Co  0.2500  0.7500  0.5000  4 C 2.07
Co  0.7500  0.2500  0.5000  4 C 2.07
Ta  0.0000  0.0000  0.0000  8 C 2.46, 8 Co 2.62
C  0.4033  0.4033  0.8065  1 C 1.57
C  0.5967  0.5967  0.1935  1 C 1.57

Total moment ... 0.0 μB per formula unit
Energy of formation ... 1.354 eV per formula unit
Density ... 12.1 g/cm3

This record from the Alexandria database describes a PBEsol-optimized structure of BaB2Ir2. The functional is meta-GGA SCAN.

Cell lengths 3.9188, 3.9188, 6.3128 Å; angles 108.08, 108.08, 90.00 degrees
With the nearest neighbours (Å) after each atom.
Positions (direct):
Ir  0.7500  0.2500  0.5000  4 B 2.11
Ir  0.2500  0.7500  0.5000  4 B 2.11
B  0.3199  0.3199  0.6399  4 Ir 2.11
B  0.6801  0.6801  0.3601  4 Ir 2.11
Ba  0.0000  0.0000  0.0000  10 B 3.44-3.63, 8 Ir 3.45

Total moment ... 0.0 μB per formula unit
Energy of formation ... -2.986 eV per formula unit
Density ... 10.4 g/cm3

This record from the Alexandria database describes a PBEsol-optimized structure of In3Hg5. The functional is meta-GGA SCAN.

Cell lengths 5.8411, 8.6653, 8.6653 Å; angles 83.48, 70.30, 70.30 degrees
With the nearest neighbours (Å) after each atom.
Positions (direct):
Hg  0.2500  0.5000  0.5000  2 Hg 2.92, 4 In 3.23
Hg  0.9310  0.8324  0.3055  6 In 3.00-3.33, 3 Hg 3.17-3.33
Hg  0.7366  0.8324  0.6945  6 In 3.00-3.33, 3 Hg 3.17-3.33
Hg  0.2634  0.1676  0.3055  6 In 3.00-3.33, 3 Hg 3.17-3.33
Hg  0.5690  0.6945  0.1676  6 In 3.00-3.33, 3 Hg 3.17-3.33
Hg  0.0690  0.1676  0.6945  6 In 3.00-3.33, 3 Hg 3.17-3.33
Hg  0.4310  0.3055  0.8324  6 In 3.00-3.33, 3 Hg 3.17-3.33
Hg  0.7500  0.5000  0.5000  2 Hg 2.92, 4 In 3.23
Hg  0.7634  0.3055  0.1676  6 In 3.00-3.33, 3 Hg 3.17-3.33
Hg  0.2366  0.6945  0.8324  6 In 3.00-3.33, 3 Hg 3.17-3.33
In  0.6766  0.1468  0.5000  10 Hg 3.00-3.33
In  0.3234  0.8532  0.5000  10 Hg 3.00-3.33
In  0.1766  0.5000  0.1468  10 Hg 3.00-3.33
In  0.8234  0.5000  0.8532  10 Hg 3.00-3.33
In  0.7500  0.0000  0.0000  2 In 2.92, 8 Hg 3.20
In  0.2500  0.0000  0.0000  2 In 2.92, 8 Hg 3.20

Distance to the lowest polymorph of the same formula ... 3.7 meV/atom
Total moment ... 0.0 μB per formula unit
Energy of formation ... 0.255 eV per formula unit
Density ... 11.5 g/cm3

Which value of total moment does entry 11 give?
0.0 μB per formula unit

Please write out number 3 again, unchanged.
This record from the Alexandria database describes a PBEsol-optimized structure of LaAs2. The functional is meta-GGA SCAN.

Cell lengths 3.7030, 3.7030, 5.6202 Å; angles 109.23, 109.23, 90.00 degrees
With the nearest neighbours (Å) after each atom.
Positions (direct):
As  0.2998  0.2998  0.5995  4 As 2.80, 1 La 2.98
As  0.7002  0.7002  0.4005  4 As 2.80, 1 La 2.98
La  0.0000  0.0000  0.0000  10 As 2.98-3.29

Total moment ... 0.0 μB per formula unit
Energy of formation ... -2.226 eV per formula unit
Density ... 7.0 g/cm3

density of number 9 (YSbSe2)?
6.6 g/cm3

What did the second record say?
This record from the Alexandria database describes a PBEsol-optimized structure of Zr2TePb. The functional is meta-GGA SCAN.

Cell lengths 3.4080, 5.2975, 5.6597 Å; angles 90.00, 107.58, 90.00 degrees
With the nearest neighbours (Å) after each atom.
Positions (direct):
Te  0.0976  0.5000  0.8204  5 Zr 2.74-3.04
Zr  0.8165  0.5000  0.2570  3 Te 2.91-3.04
Zr  0.1627  0.0000  0.9499  2 Te 2.74, 1 Pb 2.82
Pb  0.4232  0.0000  0.4728  3 Zr 2.82-3.09

Distance to the lowest polymorph of the same formula ... 64.2 meV/atom
Total moment ... 0.0 μB per formula unit
E_form (uncorrected) ... -0.41 eV per atom
Density ... 8.8 g/cm3